DFT (PBE) results for a geometry-optimized CuMoSe4 structure.

Cell and atoms, written as POSCAR:
```
CuMoSe4
1.0
0.000 3.968 3.968
3.968 0.000 3.968
3.968 3.968 0.000
Cu Mo Se
1 1 4
Direct
0.000 0.000 0.000 Cu
0.750 0.750 0.750 Mo
0.375 0.375 0.375 Se
0.375 0.375 0.876 Se
0.375 0.876 0.375 Se
0.876 0.375 0.375 Se
```

## Properties
- final energy (eV/atom) = -3.73
- DOS at the Fermi energy (states/eV/atom) = 0.72
- formation energy (no corrections) (eV/atom) = 1.079